Entry 1:
Here is a PBEsol-optimized structure of HgPb2W from Alexandria. Energies are from SCAN.

Cell: 3.642 4.859 10.883 Å, 90.00 90.00 90.00°
Space group Cmmm (No. 65)
Unique sites:
Hg 0.000 0.000 0.000 [2 per cell]
Pb 0.000 0.500 0.288 [4 per cell]
W 0.000 0.000 0.500 [2 per cell]

Calculated values
mass density: 13.77 Mg/m³
DFT formation energy: 0.6235 eV/atom

---

Entry 2:
Here is a PBEsol-optimized structure of YMgSi from Alexandria. Energies are from SCAN.

Cell: 4.665 4.675 11.858 Å, 90.00 90.00 90.00°
Space group Fmm2 (No. 42)
Unique sites:
Y 0.000 0.000 0.000 [4 per cell]
Mg 0.000 0.000 0.290 [4 per cell]
Si 0.000 0.000 0.656 [4 per cell]

Calculated values
mass density: 3.63 Mg/m³
formation energy (no corrections): -0.179 eV/atom

---

Entry 3:
Here is a PBEsol-optimized structure of Y2ZrAg from Alexandria. Energies are from SCAN.

Cell: 3.390 3.390 8.458 Å, 90.00 90.00 90.00°
Space group P4/mmm (No. 123)
Unique sites:
Y 0.000 0.000 0.233 [2 per cell]
Zr 0.500 0.500 0.500 [1 per cell]
Ag 0.500 0.500 0.000 [1 per cell]

Calculated values
mass density: 6.44 Mg/m³
DFT formation energy: -0.1265 eV/atom
relative energy among the computed polymorphs: 0.0 meV per atom

---

Entry 4:
Here is a PBEsol-optimized structure of DyAlCo4 from Alexandria. Energies are from SCAN.

Cell: 4.822 8.554 3.952 Å, 90.00 90.00 90.00°
Space group Cmmm (No. 65)
Unique sites:
Dy 0.000 0.000 0.000 [2 per cell]
Al 0.000 0.500 0.500 [2 per cell]
Co 0.000 0.314 0.000 [4 per cell]
Co 0.250 0.250 0.500 [4 per cell]

Calculated values
mass density: 8.66 Mg/m³
DFT formation energy: -0.2368 eV/atom
relative energy among the computed polymorphs: 0.0 meV per atom